Entry 1:
DFT (PBE) results for a relaxed structure of Pm2PrI.

Formation energy without anion corrections ... -1.3 eV per formula unit
Polymorph energy (0 for the lowest one) ... 0.295 eV/f.u.

Lattice parameters (Å, degrees): 3.725 3.725 9.814 90.00 90.00 90.00
Fractional coordinates of all 4 atoms:
Pm  0.000  0.000  0.240
Pm  0.000  0.000  0.760
Pr  0.500  0.500  0.500
I  0.500  0.500  0.000



Entry 2:
DFT (PBE) results for a relaxed structure of Pm2PrI.

Formation energy without anion corrections ... -1.5 eV per formula unit
Polymorph energy (0 for the lowest one) ... 0.141 eV/f.u.

Lattice parameters (Å, degrees): 3.842 3.842 32.452 90.00 90.00 120.00
Fractional coordinates of all 12 atoms:
Pm  0.000  0.000  0.000
Pm  0.000  0.000  0.179
Pm  0.333  0.667  0.667
Pm  0.333  0.667  0.846
Pm  0.667  0.333  0.333
Pm  0.667  0.333  0.513
Pr  0.000  0.000  0.423
Pr  0.333  0.667  0.089
Pr  0.667  0.333  0.756
I  0.000  0.000  0.590
I  0.333  0.667  0.256
I  0.667  0.333  0.923



Entry 3:
DFT (PBE) results for a relaxed structure of Pm2PrI.

Formation energy without anion corrections ... -1.6 eV per formula unit
Polymorph energy (0 for the lowest one) ... 0.000 eV/f.u.

Lattice parameters (Å, degrees): 3.830 3.830 32.332 90.00 90.00 120.00
Fractional coordinates of all 12 atoms:
Pm  0.000  0.000  0.244
Pm  0.000  0.000  0.756
Pm  0.333  0.667  0.422
Pm  0.333  0.667  0.911
Pm  0.667  0.333  0.089
Pm  0.667  0.333  0.578
Pr  0.000  0.000  0.000
Pr  0.333  0.667  0.667
Pr  0.667  0.333  0.333
I  0.000  0.000  0.500
I  0.333  0.667  0.167
I  0.667  0.333  0.833



Entry 4:
DFT (PBE) results for a relaxed structure of PmPr2I.

Formation energy without anion corrections ... -1.4 eV per formula unit
Polymorph energy (0 for the lowest one) ... 0.213 eV/f.u.

Lattice parameters (Å, degrees): 3.749 3.749 9.872 90.00 90.00 90.00
Fractional coordinates of all 4 atoms:
Pm  0.000  0.000  0.000
Pr  0.500  0.500  0.259
Pr  0.500  0.500  0.741
I  0.000  0.000  0.500



Entry 5:
DFT (PBE) results for a relaxed structure of PmPrI.

Formation energy without anion corrections ... -1.4 eV per formula unit
Polymorph energy (0 for the lowest one) ... 0.233 eV/f.u.

Lattice parameters (Å, degrees): 3.771 3.771 14.503 90.00 90.00 90.00
Fractional coordinates of all 6 atoms:
Pm  0.000  0.000  0.000
Pm  0.500  0.500  0.500
Pr  0.000  0.000  0.677
Pr  0.500  0.500  0.177
I  0.000  0.000  0.342
I  0.500  0.500  0.842



Entry 6:
DFT (PBE) results for a relaxed structure of PmPr2I.

Formation energy without anion corrections ... -1.6 eV per formula unit
Polymorph energy (0 for the lowest one) ... 0.065 eV/f.u.

Lattice parameters (Å, degrees): 3.868 3.868 32.765 90.00 90.00 120.00
Fractional coordinates of all 12 atoms:
Pm  0.000  0.000  0.000
Pm  0.333  0.667  0.667
Pm  0.667  0.333  0.333
Pr  0.000  0.000  0.244
Pr  0.000  0.000  0.422
Pr  0.333  0.667  0.088
Pr  0.333  0.667  0.911
Pr  0.667  0.333  0.578
Pr  0.667  0.333  0.755
I  0.000  0.000  0.833
I  0.333  0.667  0.500
I  0.667  0.333  0.167



Entry 7:
DFT (PBE) results for a relaxed structure of Pm2PrI6.

Formation energy without anion corrections ... -10.7 eV per formula unit
Polymorph energy (0 for the lowest one) ... 0.959 eV/f.u.

Lattice parameters (Å, degrees): 8.691 8.691 8.691 52.25 52.25 52.25
Fractional coordinates of all 9 atoms:
Pm  0.000  0.000  0.000
Pm  0.336  0.336  0.336
Pr  0.496  0.496  0.496
I  0.071  0.423  0.754
I  0.235  0.925  0.582
I  0.423  0.754  0.071
I  0.582  0.235  0.925
I  0.754  0.071  0.423
I  0.925  0.582  0.235



Entry 8:
DFT (PBE) results for a relaxed structure of PmPr2I8.

Formation energy without anion corrections ... -13.6 eV per formula unit

Lattice parameters (Å, degrees): 9.920 9.920 6.628 90.35 90.35 70.81
Fractional coordinates of all 11 atoms:
Pm  0.000  0.000  0.000
Pr  0.198  0.198  0.701
Pr  0.802  0.802  0.299
I  0.125  0.716  0.251
I  0.179  0.179  0.218
I  0.284  0.875  0.749
I  0.380  0.380  0.748
I  0.620  0.620  0.252
I  0.716  0.125  0.251
I  0.821  0.821  0.782
I  0.875  0.284  0.749